1.
A geometry-optimized AgRuSe structure. Source: Alexandria via LeMat-Bulk, functional GGA-PBEsol.

Output
As for the formation energy without anion corrections: 0.4462 eV/atom. As for the symmetry: No. 42.

a = 2.8634 Å, b = 2.8634 Å, c = 7.1567 Å
α = 96.00°, β = 96.00°, γ = 118.54°
Positions (direct):
Ag  0.0106  0.0106  0.0211
Ru  0.6772  0.6772  0.3543
Se  0.3123  0.3123  0.6246

=====

2.
A geometry-optimized CoP2Rh structure. Source: Alexandria via LeMat-Bulk, functional GGA-PBEsol.

Output
The value obtained for the calculated formation energy is -0.204 eV per atom. As for the symmetry: No. 99.

a = 2.7528 Å, b = 2.7528 Å, c = 7.1518 Å
α = 90.00°, β = 90.00°, γ = 90.00°
Last column: magnetic moment on the atom in μB.
Positions (direct):
P  0.5000  0.5000  0.3070  0.00
P  0.0000  0.0000  0.9270  -0.01
Co  0.5000  0.5000  0.7685  0.35
Rh  0.0000  0.0000  0.4974  0.00